Density functional theory data (PBE-GGA) for LiAc3Al2O9 after structural relaxation.

Geometry as CIF:
```
data_LiAc3Al2O9
_chemical_formula_sum 'Li1 Ac3 Al2 O9'
_cell_length_a 5.4944
_cell_length_b 5.4944
_cell_length_c 6.8768
_cell_angle_alpha 90.00
_cell_angle_beta 90.00
_cell_angle_gamma 120.00
_space_group_name_H-M_alt 'P -3 m 1'
_space_group_IT_number 164
_space_group_name_Hall '-P 3 2"'
loop_
_atom_site_label
_atom_site_type_symbol
_atom_site_fract_x
_atom_site_fract_y
_atom_site_fract_z
Li1 Li 0.0000 0.0000 0.0000
Ac1 Ac 0.0000 0.0000 0.5000
Ac2 Ac 0.3333 0.6667 0.1558
Al1 Al 0.3333 0.6667 0.6563
O1 O 0.0000 0.5000 0.5000
O2 O 0.1739 0.3478 0.8228
```

VASP energy	-7.288	eV per atom
crystal system	trigonal